i:
Entry from the Alexandria database: a geometry-optimized BaTbTl structure (GGA-PBE).

Its total magnetization is 0.0 μB per cell. The mass density comes out at 7207 kg/m3.

```
data_BaTbTl
_cell_length_a 5.2708
_cell_length_b 5.2708
_cell_length_c 8.3036
_cell_angle_alpha 90.00
_cell_angle_beta 90.00
_cell_angle_gamma 90.00
_space_group_name_H-M_alt 'P 1'
_space_group_IT_number 1
loop_
_space_group_symop_operation_xyz
'x,y,z'
loop_
_atom_site_label
_atom_site_fract_x
_atom_site_fract_y
_atom_site_fract_z
Ba1 0.2500 0.2500 0.1393
Ba2 0.7500 0.7500 0.8607
Tb1 0.2500 0.7500 0.5000
Tb2 0.7500 0.2500 0.5000
Tl1 0.2500 0.2500 0.7161
Tl2 0.7500 0.7500 0.2839
```

ii:
Entry from the Alexandria database: a geometry-optimized BaTbTl structure (GGA-PBE).

Its total magnetization is 0.0 μB per cell. The mass density comes out at 7408 kg/m3.

```
data_BaTbTl
_cell_length_a 5.5267
_cell_length_b 5.5267
_cell_length_c 4.2421
_cell_angle_alpha 90.00
_cell_angle_beta 90.00
_cell_angle_gamma 120.00
_space_group_name_H-M_alt 'P 1'
_space_group_IT_number 1
loop_
_space_group_symop_operation_xyz
'x,y,z'
loop_
_atom_site_label
_atom_site_fract_x
_atom_site_fract_y
_atom_site_fract_z
Ba1 0.0000 0.0000 0.0000
Tb1 0.3333 0.6667 0.4995
Tl1 0.6667 0.3333 0.5017
```

iii:
Entry from the Alexandria database: a geometry-optimized BaTbTl structure (GGA-PBE).

Its total magnetization is 0.0 μB per cell. The mass density comes out at 7314 kg/m3.

```
data_BaTbTl
_cell_length_a 7.5139
_cell_length_b 7.5139
_cell_length_c 7.5139
_cell_angle_alpha 148.77
_cell_angle_beta 148.77
_cell_angle_gamma 44.74
_space_group_name_H-M_alt 'P 1'
_space_group_IT_number 1
loop_
_space_group_symop_operation_xyz
'x,y,z'
loop_
_atom_site_label
_atom_site_fract_x
_atom_site_fract_y
_atom_site_fract_z
Ba1 0.0000 0.0000 0.0000
Tb1 0.2786 0.2786 0.0000
Tl1 0.6776 0.6776 0.0000
```

Last place for stability: ii

i:
Entry from the Alexandria database: a geometry-optimized BaTb2Y structure (GGA-PBE).

Its total magnetization is 0.0 μB per cell. The mass density comes out at 6161 kg/m3.

```
data_BaTb2Y
_cell_length_a 13.0615
_cell_length_b 13.0615
_cell_length_c 13.0615
_cell_angle_alpha 15.95
_cell_angle_beta 15.95
_cell_angle_gamma 15.95
_space_group_name_H-M_alt 'P 1'
_space_group_IT_number 1
loop_
_space_group_symop_operation_xyz
'x,y,z'
loop_
_atom_site_label
_atom_site_fract_x
_atom_site_fract_y
_atom_site_fract_z
Ba1 0.0000 0.0000 0.0000
Tb1 0.0936 0.0936 0.0936
Tb2 0.9064 0.9064 0.9064
Y1 0.5000 0.5000 0.5000
```

ii:
Entry from the Alexandria database: a geometry-optimized BaTb2Y structure (GGA-PBE).

Its total magnetization is 0.0 μB per cell. The mass density comes out at 6079 kg/m3.

```
data_BaTb2Y
_cell_length_a 3.7139
_cell_length_b 3.7139
_cell_length_c 10.7745
_cell_angle_alpha 90.00
_cell_angle_beta 90.00
_cell_angle_gamma 90.00
_space_group_name_H-M_alt 'P 1'
_space_group_IT_number 1
loop_
_space_group_symop_operation_xyz
'x,y,z'
loop_
_atom_site_label
_atom_site_fract_x
_atom_site_fract_y
_atom_site_fract_z
Ba1 0.0000 0.0000 0.0000
Tb1 0.5000 0.5000 0.2822
Tb2 0.5000 0.5000 0.7178
Y1 0.0000 0.0000 0.5000
```

Last place for stability: i

i:
Entry from the Alexandria database: a geometry-optimized BaTb2Zn structure (GGA-PBE).

Its total magnetization is 0.0 μB per cell. The mass density comes out at 6578 kg/m3.

```
data_BaTb2Zn
_cell_length_a 3.7005
_cell_length_b 3.7005
_cell_length_c 9.5975
_cell_angle_alpha 90.00
_cell_angle_beta 90.00
_cell_angle_gamma 90.00
_space_group_name_H-M_alt 'P 1'
_space_group_IT_number 1
loop_
_space_group_symop_operation_xyz
'x,y,z'
loop_
_atom_site_label
_atom_site_fract_x
_atom_site_fract_y
_atom_site_fract_z
Ba1 0.0000 0.0000 0.0000
Tb1 0.5000 0.5000 0.3270
Tb2 0.5000 0.5000 0.6730
Zn1 0.0000 0.0000 0.5000
```

ii:
Entry from the Alexandria database: a geometry-optimized BaTb2Zn structure (GGA-PBE).

Its total magnetization is 0.0 μB per cell. The mass density comes out at 6371 kg/m3.

```
data_BaTb2Zn
_cell_length_a 11.8097
_cell_length_b 11.8097
_cell_length_c 11.8097
_cell_angle_alpha 17.89
_cell_angle_beta 17.89
_cell_angle_gamma 17.89
_space_group_name_H-M_alt 'P 1'
_space_group_IT_number 1
loop_
_space_group_symop_operation_xyz
'x,y,z'
loop_
_atom_site_label
_atom_site_fract_x
_atom_site_fract_y
_atom_site_fract_z
Ba1 0.0000 0.0000 0.0000
Tb1 0.1062 0.1062 0.1062
Tb2 0.8938 0.8938 0.8938
Zn1 0.5000 0.5000 0.5000
```

Last place for stability: ii

i:
Entry from the Alexandria database: a geometry-optimized BaTc3 structure (GGA-PBE).

Its total magnetization is 0.0 μB per cell. The mass density comes out at 9654 kg/m3.

```
data_BaTc3
_cell_length_a 5.4869
_cell_length_b 5.4869
_cell_length_c 5.4869
_cell_angle_alpha 116.88
_cell_angle_beta 116.88
_cell_angle_gamma 116.88
_space_group_name_H-M_alt 'P 1'
_space_group_IT_number 1
loop_
_space_group_symop_operation_xyz
'x,y,z'
loop_
_atom_site_label
_atom_site_fract_x
_atom_site_fract_y
_atom_site_fract_z
Ba1 0.0000 0.0000 0.0000
Tc1 0.0000 0.5000 0.5000
Tc2 0.5000 0.0000 0.5000
Tc3 0.5000 0.5000 0.0000
```

ii:
Entry from the Alexandria database: a geometry-optimized BaTc3 structure (GGA-PBE).

Its total magnetization is 0.0 μB per cell. The mass density comes out at 8570 kg/m3.

```
data_BaTc3
_cell_length_a 3.2382
_cell_length_b 3.2382
_cell_length_c 7.9702
_cell_angle_alpha 90.00
_cell_angle_beta 90.00
_cell_angle_gamma 90.00
_space_group_name_H-M_alt 'P 1'
_space_group_IT_number 1
loop_
_space_group_symop_operation_xyz
'x,y,z'
loop_
_atom_site_label
_atom_site_fract_x
_atom_site_fract_y
_atom_site_fract_z
Ba1 0.0000 0.0000 0.0000
Tc1 0.0000 0.0000 0.5000
Tc2 0.5000 0.5000 0.3380
Tc3 0.5000 0.5000 0.6620
```

Last place for stability: i

i:
Entry from the Alexandria database: a geometry-optimized BaTc3 structure (GGA-PBE).

Its total magnetization is 0.0 μB per cell. The mass density comes out at 9694 kg/m3.

```
data_BaTc3
_cell_length_a 4.7100
_cell_length_b 4.7100
_cell_length_c 4.7100
_cell_angle_alpha 60.00
_cell_angle_beta 60.00
_cell_angle_gamma 60.00
_space_group_name_H-M_alt 'P 1'
_space_group_IT_number 1
loop_
_space_group_symop_operation_xyz
'x,y,z'
loop_
_atom_site_label
_atom_site_fract_x
_atom_site_fract_y
_atom_site_fract_z
Ba1 0.0000 0.0000 0.0000
Tc1 0.2500 0.2500 0.2500
Tc2 0.5000 0.5000 0.5000
Tc3 0.7500 0.7500 0.7500
```

ii:
Entry from the Alexandria database: a geometry-optimized BaTc3 structure (GGA-PBE).

Its total magnetization is 4.8 μB per cell. The mass density comes out at 9029 kg/m3.

```
data_BaTc3
_cell_length_a 4.2968
_cell_length_b 4.2968
_cell_length_c 4.2968
_cell_angle_alpha 90.00
_cell_angle_beta 90.00
_cell_angle_gamma 90.00
_space_group_name_H-M_alt 'P 1'
_space_group_IT_number 1
loop_
_space_group_symop_operation_xyz
'x,y,z'
loop_
_atom_site_label
_atom_site_fract_x
_atom_site_fract_y
_atom_site_fract_z
Ba1 0.0000 0.0000 0.0000
Tc1 0.0000 0.5000 0.5000
Tc2 0.5000 0.0000 0.5000
Tc3 0.5000 0.5000 0.0000
```

iii:
Entry from the Alexandria database: a geometry-optimized BaTc3 structure (GGA-PBE).

Its total magnetization is 0.0 μB per cell. The mass density comes out at 8266 kg/m3.

```
data_BaTc3
_cell_length_a 7.0466
_cell_length_b 7.0466
_cell_length_c 8.0600
_cell_angle_alpha 90.00
_cell_angle_beta 90.00
_cell_angle_gamma 120.00
_space_group_name_H-M_alt 'P 1'
_space_group_IT_number 1
loop_
_space_group_symop_operation_xyz
'x,y,z'
loop_
_atom_site_label
_atom_site_fract_x
_atom_site_fract_y
_atom_site_fract_z
Ba1 0.0000 0.0000 0.0000
Ba2 0.0000 0.0000 0.5000
Ba3 0.3333 0.6667 0.2500
Ba4 0.6667 0.3333 0.7500
Tc1 0.0000 0.5000 0.0000
Tc2 0.0000 0.5000 0.5000
Tc3 0.2166 0.4331 0.7500
Tc4 0.2166 0.7834 0.7500
Tc5 0.4331 0.2166 0.2500
Tc6 0.5000 0.0000 0.0000
Tc7 0.5000 0.0000 0.5000
Tc8 0.5000 0.5000 0.0000
Tc9 0.5000 0.5000 0.5000
Tc10 0.5669 0.7834 0.7500
Tc11 0.7834 0.2166 0.2500
Tc12 0.7834 0.5669 0.2500
```

iv:
Entry from the Alexandria database: a geometry-optimized BaTc3 structure (GGA-PBE).

Its total magnetization is 0.0 μB per cell. The mass density comes out at 7671 kg/m3.

```
data_BaTc3
_cell_length_a 4.1563
_cell_length_b 5.8217
_cell_length_c 7.7173
_cell_angle_alpha 90.00
_cell_angle_beta 90.00
_cell_angle_gamma 90.00
_space_group_name_H-M_alt 'P 1'
_space_group_IT_number 1
loop_
_space_group_symop_operation_xyz
'x,y,z'
loop_
_atom_site_label
_atom_site_fract_x
_atom_site_fract_y
_atom_site_fract_z
Ba1 0.2500 0.2500 0.1030
Ba2 0.7500 0.7500 0.8970
Tc1 0.2500 0.0005 0.5917
Tc2 0.2500 0.4995 0.5917
Tc3 0.2500 0.7500 0.3195
Tc4 0.7500 0.2500 0.6805
Tc5 0.7500 0.5005 0.4083
Tc6 0.7500 0.9995 0.4083
```

Last place for stability: ii

i:
Entry from the Alexandria database: a geometry-optimized BaTc3 structure (GGA-PBE).

Its total magnetization is 0.0 μB per cell. The mass density comes out at 8803 kg/m3.

```
data_BaTc3
_cell_length_a 5.7701
_cell_length_b 5.7701
_cell_length_c 5.7701
_cell_angle_alpha 148.99
_cell_angle_beta 123.76
_cell_angle_gamma 65.62
_space_group_name_H-M_alt 'P 1'
_space_group_IT_number 1
loop_
_space_group_symop_operation_xyz
'x,y,z'
loop_
_atom_site_label
_atom_site_fract_x
_atom_site_fract_y
_atom_site_fract_z
Ba1 0.0000 0.0000 0.0000
Tc1 0.2939 0.7939 0.5000
Tc2 0.5000 0.5000 0.0000
Tc3 0.7061 0.2061 0.5000
```

ii:
Entry from the Alexandria database: a geometry-optimized BaTc3 structure (GGA-PBE).

Its total magnetization is 0.0 μB per cell. The mass density comes out at 9412 kg/m3.

```
data_BaTc3
_cell_length_a 10.1843
_cell_length_b 10.1843
_cell_length_c 10.1843
_cell_angle_alpha 16.70
_cell_angle_beta 16.70
_cell_angle_gamma 16.70
_space_group_name_H-M_alt 'P 1'
_space_group_IT_number 1
loop_
_space_group_symop_operation_xyz
'x,y,z'
loop_
_atom_site_label
_atom_site_fract_x
_atom_site_fract_y
_atom_site_fract_z
Ba1 0.0000 0.0000 0.0000
Tc1 0.2343 0.2343 0.2343
Tc2 0.5000 0.5000 0.5000
Tc3 0.7657 0.7657 0.7657
```

Last place for stability: i